Here is crystalline MgVTcO6 at its relaxed geometry from Alexandria. Energies are from PBE with a Hubbard U.

Mass density: 4502 kg/m3
Raw total energy: -7.237 eV/atom
Crystal system: trigonal

Lattice parameters (Å, degrees): 5.0154 5.0154 9.1180 90.00 90.00 120.00
Space group P-31c (No. 163)
Symmetry-distinct sites (fractional):
Mg: 0.0000 0.0000 0.0000
V: 0.3333 0.6667 0.2500
Tc: 0.3333 0.6667 0.7500
O: 0.0078 0.3554 0.1349